Computed, not measured: a relaxed Tb3HoPt2 crystal at the PBE level of DFT.

Its mass density is 11.30 Mg/m³. The value obtained for the formation energy is -0.940 eV per atom.

The structure belongs to space group Pmc2_1 (No. 26); the cell edges are 4.781, 8.842 and 7.175 Å and the angles 90.00°, 90.00° and 90.00°. The inequivalent atoms are Tb at (0.000, 0.084, 0.000), Tb at (0.000, 0.333, 0.364), Tb at (0.500, 0.169, 0.652), Ho at (0.500, 0.416, 0.017), Pt at (0.000, 0.343, 0.768) and Pt at (0.500, 0.159, 0.249).